[1]
DFT (PBE-GGA) results for a relaxed Dy4Tm4Tl crystal.

a = 4.8561 Å, b = 7.8246 Å, c = 7.8246 Å
α = 84.47°, β = 71.92°, γ = 71.92°
Positions (direct):
Tm: 0.3365 0.6635 0.6635
Tm: 0.0000 0.3365 0.6635
Tm: 0.6635 0.3365 0.3365
Tm: 0.0000 0.6635 0.3365
Dy: 0.3372 0.0000 0.3256
Dy: 0.6628 0.0000 0.6744
Dy: 0.6628 0.6744 0.0000
Dy: 0.3372 0.3256 0.0000
Tl: 0.0000 0.0000 0.0000

- ΔH_f (0 K): -0.036 eV per atom
- Total moment: 0.00 μB/cell
- SG: I4/mmm, No. 139
- Energy: -4.33 eV per atom

[2]
DFT (PBE-GGA) results for a relaxed SrSi2Sb crystal.

a = 5.2491 Å, b = 6.2120 Å, c = 3.5951 Å
α = 73.04°, β = 90.31°, γ = 115.09°
Positions (direct):
Si: 0.5000 0.0000 0.5000
Si: 0.0000 0.0000 0.0000
Sb: 0.5000 0.5000 0.0000
Sr: 0.0000 0.5000 0.5000

- Raw formation energy: 0.2797 eV/atom
- Total moment: 0.00 μB/cell
- SG: C2/m, No. 12
- Energy: -3.88 eV per atom

[3]
DFT (PBE-GGA) results for a relaxed KBa2In2 crystal.

a = 10.2988 Å, b = 10.2988 Å, c = 4.0174 Å
α = 90.00°, β = 90.00°, γ = 90.00°
Positions (direct):
Ba: 0.6452 0.1452 0.0000
Ba: 0.1452 0.3548 0.0000
Ba: 0.8548 0.6452 0.0000
Ba: 0.3548 0.8548 0.0000
In: 0.6489 0.8511 0.5000
In: 0.8511 0.3511 0.5000
In: 0.1489 0.6489 0.5000
In: 0.3511 0.1489 0.5000
K: 0.5000 0.5000 0.0000
K: 0.0000 0.0000 0.0000

- ΔH_f (0 K): -0.205 eV per atom
- Total moment: 0.00 μB/cell
- SG: P4/mbm, No. 127
- Energy: -2.29 eV per atom

[4]
DFT (PBE-GGA) results for a relaxed Y4BeZn crystal.

a = 6.1853 Å, b = 6.1853 Å, c = 6.1853 Å
α = 60.00°, β = 60.00°, γ = 60.00°
Positions (direct):
Y: 0.8756 0.3748 0.3748
Y: 0.3748 0.8756 0.3748
Y: 0.3748 0.3748 0.8756
Y: 0.3748 0.3748 0.3748
Zn: 0.7500 0.7500 0.7500
Be: 0.0000 0.0000 0.0000

- ΔH_f (0 K): 0.756 eV per atom
- Total moment: 0.00 μB/cell
- SG: F-43m, No. 216
- Energy: -4.39 eV per atom

[5]
DFT (PBE-GGA) results for a relaxed TaAgSb crystal.

a = 7.6852 Å, b = 7.5132 Å, c = 3.0169 Å
α = 81.77°, β = 75.37°, γ = 22.86°
Positions (direct):
Ag: 0.0153 0.0153 0.9847
Sb: 0.3198 0.3198 0.6802
Ta: 0.6649 0.6649 0.3351

- Raw formation energy: 0.3318 eV/atom
- Total moment: 0.00 μB/cell
- SG: Fmm2, No. 42
- Energy: -5.94 eV per atom

[6]
DFT (PBE-GGA) results for a relaxed Tm3Al2Pd6 crystal.

a = 8.1659 Å, b = 8.1659 Å, c = 8.1659 Å
α = 109.47°, β = 109.47°, γ = 109.47°
Positions (direct):
Pd: 0.6736 0.3263 0.0000
Pd: 0.6527 0.3263 0.3263
Pd: 0.3473 0.6736 0.6736
Pd: 0.6736 0.6736 0.3473
Pd: 0.3263 0.3263 0.6527
Pd: 0.0000 0.6736 0.3263
Pd: 0.6736 0.3473 0.6736
Pd: 0.3263 0.6527 0.3263
Pd: 0.3263 0.0000 0.6736
Pd: 0.0000 0.3263 0.6736
Pd: 0.6736 0.0000 0.3263
Pd: 0.3263 0.6736 0.0000
Tm: 0.2975 0.0000 0.2975
Tm: 0.0000 0.7025 0.7025
Tm: 0.7025 0.7025 0.0000
Tm: 0.2975 0.2975 0.0000
Tm: 0.7025 0.0000 0.7025
Tm: 0.0000 0.2975 0.2975
Al: 0.5000 0.5000 0.5000
Al: 0.0000 0.5000 0.0000
Al: 0.0000 0.0000 0.5000
Al: 0.5000 0.0000 0.0000

- ΔH_f (0 K): -0.900 eV per atom
- Total moment: 0.00 μB/cell
- SG: Im-3m, No. 229
- Energy: -5.63 eV per atom

The lowest energy belongs to which entry?
TaAgSb